Here is a relaxed LiDy2Ga crystal from Alexandria via LeMat-Bulk. Energies are from PBE.

Summary:
energy of formation: -0.295 eV/atom
density of states at the Fermi level: 3.38 states/eV/f.u.
V: 23.49 Å³ per atom
energy: -3.831 eV/atom

Lattice parameters (Å, degrees): 5.0267 5.0267 3.7181 90.00 90.00 90.00
Last column: nearest neighbours and their distance in Å.
Space group P4/mmm (No. 123)
One atom of each set of equivalent atoms:
1 Li 0.0000 0.0000 0.0000 (multiplicity 1)  8 Dy 3.13
2 Dy 0.0000 0.5000 0.5000 (multiplicity 2)  4 Ga 3.13, 4 Li 3.13
3 Ga 0.5000 0.5000 0.0000 (multiplicity 1)  8 Dy 3.13